Ti3Cu2Ir after structural relaxation. Source: the Alexandria database, functional PBE.

a b c (Å): 7.000 7.000 3.007
angles (deg): 90.00 90.00 143.01
Element x y z (fractional)
Ti 0.000 0.000 0.000
Ti 0.335 0.665 0.000
Ti 0.665 0.335 0.000
Cu 0.171 0.829 0.500
Cu 0.829 0.171 0.500
Ir 0.500 0.500 0.500

* crystal system: orthorhombic
* energy of formation: -0.36 eV/atom
* spin magnetization: 0.0 μB/f.u.
* space-group type: Cmmm
* calculated volume: 88.6 Å³/cell

---

Sm6Ho8Mg after structural relaxation. Source: the Alexandria database, functional PBE.

a b c (Å): 8.583 8.583 8.583
angles (deg): 63.51 63.51 63.51
Element x y z (fractional)
Sm 0.046 0.731 0.603
Sm 0.269 0.397 0.954
Sm 0.397 0.954 0.269
Sm 0.603 0.046 0.731
Sm 0.731 0.603 0.046
Sm 0.954 0.269 0.397
Ho 0.076 0.076 0.076
Ho 0.217 0.245 0.609
Ho 0.245 0.609 0.217
Ho 0.391 0.783 0.755
Ho 0.609 0.217 0.245
Ho 0.755 0.391 0.783
Ho 0.783 0.755 0.391
Ho 0.924 0.924 0.924
Mg 0.500 0.500 0.500

* crystal system: trigonal
* energy of formation: 0.09 eV/atom
* spin magnetization: 0.0 μB/f.u.
* space-group type: R-3
* calculated volume: 481.9 Å³/cell

---

CaIr3I after structural relaxation. Source: the Alexandria database, functional PBE.

a b c (Å): 4.955 4.955 4.955
angles (deg): 90.00 90.00 90.00
Element x y z (fractional)
Ca 0.000 0.000 0.000
Ir 0.000 0.000 0.500
Ir 0.000 0.500 0.000
Ir 0.500 0.000 0.000
I 0.500 0.500 0.500

* crystal system: cubic
* spin magnetization: 3.2 μB/f.u.
* energy relative to the elements, uncorrected: 53.937 kcal/mol of atoms
* space-group type: Pm-3m
* calculated volume: 121.6 Å³/cell

---

Er7Cu2Pt2 after structural relaxation. Source: the Alexandria database, functional PBE.

a b c (Å): 6.623 6.623 7.016
angles (deg): 90.00 90.00 105.47
Element x y z (fractional)
Er 0.000 0.000 0.000
Er 0.000 0.500 0.261
Er 0.000 0.500 0.739
Er 0.500 0.000 0.261
Er 0.500 0.000 0.739
Er 0.500 0.500 0.259
Er 0.500 0.500 0.741
Cu 0.210 0.210 0.500
Cu 0.790 0.790 0.500
Pt 0.282 0.718 0.000
Pt 0.718 0.282 0.000

* crystal system: orthorhombic
* energy of formation: -0.39 eV/atom
* spin magnetization: 0.0 μB/f.u.
* space-group type: Cmmm
* calculated volume: 296.6 Å³/cell

---

SrMg2Cd after structural relaxation. Source: the Alexandria database, functional PBE.

a b c (Å): 5.593 5.593 5.858
angles (deg): 108.41 108.41 42.94
Element x y z (fractional)
Sr 0.000 0.000 0.000
Mg 0.222 0.222 0.682
Mg 0.778 0.778 0.318
Cd 0.500 0.500 0.500

* crystal system: monoclinic
* energy of formation: -0.06 eV/atom
* spin magnetization: 0.0 μB/f.u.
* space-group type: C2/m
* calculated volume: 117.4 Å³/cell

---

PmPa4 after structural relaxation. Source: the Alexandria database, functional PBE.

a b c (Å): 5.382 5.382 5.382
angles (deg): 90.00 90.00 90.00
Element x y z (fractional)
Pm 0.000 0.000 0.000
Pa 0.000 0.000 0.500
Pa 0.000 0.500 0.000
Pa 0.500 0.000 0.000
Pa 0.500 0.500 0.500

* crystal system: cubic
* energy of formation: 1.49 eV/atom
* spin magnetization: 1.0 μB/f.u.
* space-group type: Pm-3m
* calculated volume: 155.9 Å³/cell

---

Values for Fermi-level density of states, states/eV/atom, ordered as above
1.1327 1.4107 1.5457 0.9587 0.3893 2.9970
Values for electronic total energy, eV per atom, ordered as above
-7.148 -4.342 -3.688 -5.134 -1.505 -7.059